(1)
A plane-wave DFT calculation with PBE was carried out for a geometry-optimized Rb3Y3PaTe8 structure.

As for the crystal system: trigonal. The formation energy from raw total energies is -1.288 eV/atom. The calculation puts the theoretical density at 4.9 g/cm3. As for the space group: R-3m, No. 166.

Cell lengths 10.133, 10.133, 10.133 Å; angles 52.51, 52.51, 52.51 degrees
Fractional positions:
Rb: 0.000 0.500 0.500
Rb: 0.500 0.000 0.500
Rb: 0.500 0.500 0.000
Y: 0.000 0.000 0.500
Y: 0.000 0.500 0.000
Y: 0.500 0.000 0.000
Pa: 0.500 0.500 0.500
Te: 0.232 0.733 0.733
Te: 0.233 0.233 0.233
Te: 0.267 0.267 0.768
Te: 0.267 0.768 0.267
Te: 0.733 0.232 0.733
Te: 0.733 0.733 0.232
Te: 0.767 0.767 0.767
Te: 0.768 0.267 0.267

***

(2)
A plane-wave DFT calculation with PBE was carried out for a geometry-optimized Rb2LiMoI6 structure.

As for the crystal system: cubic. The formation energy from raw total energies is -0.855 eV/atom. The calculation puts the theoretical density at 4.3 g/cm3. As for the space group: Fm-3m, No. 225.

Cell lengths 8.240, 8.240, 8.240 Å; angles 60.00, 60.00, 60.00 degrees
Fractional positions:
Rb: 0.250 0.250 0.250
Rb: 0.750 0.750 0.750
Li: 0.000 0.000 0.000
Mo: 0.500 0.500 0.500
I: 0.258 0.258 0.742
I: 0.258 0.742 0.258
I: 0.258 0.742 0.742
I: 0.742 0.258 0.258
I: 0.742 0.258 0.742
I: 0.742 0.742 0.258

***

(3)
A plane-wave DFT calculation with PBE was carried out for a geometry-optimized CaTa2Pb structure.

As for the crystal system: monoclinic. The calculation puts the theoretical density at 10.5 g/cm3. The formation energy comes out at 491 meV per atom. As for the space group: Cm, No. 8.

Cell lengths 4.986, 4.986, 6.535 Å; angles 96.22, 96.22, 36.48 degrees
Fractional positions:
Ca: 0.000 0.000 0.000
Ta: 0.504 0.504 0.463
Ta: 0.770 0.770 0.303
Pb: 0.248 0.248 0.712

***

(4)
A plane-wave DFT calculation with PBE was carried out for a geometry-optimized ZrCr2ReGe structure.

As for the crystal system: tetragonal. The calculation puts the theoretical density at 6.9 g/cm3. The formation energy comes out at 1040 meV per atom. As for the space group: P4/mmm, No. 123.

Cell lengths 4.603, 4.603, 5.152 Å; angles 90.00, 90.00, 90.00 degrees
Fractional positions:
Zr: 0.000 0.000 0.000
Cr: 0.000 0.500 0.500
Cr: 0.500 0.000 0.500
Re: 0.000 0.000 0.500
Ge: 0.500 0.500 0.000

***

(5)
A plane-wave DFT calculation with PBE was carried out for a geometry-optimized CsCuW structure.

As for the crystal system: orthorhombic. The calculation puts the theoretical density at 6.5 g/cm3. The formation energy comes out at 1062 meV per atom. As for the space group: Pnma, No. 62.

Cell lengths 9.192, 3.447, 12.224 Å; angles 90.00, 90.00, 90.00 degrees
Fractional positions:
Cs: 0.062 0.250 0.175
Cs: 0.438 0.750 0.675
Cs: 0.562 0.250 0.325
Cs: 0.938 0.750 0.825
Cu: 0.209 0.750 0.415
Cu: 0.291 0.250 0.915
Cu: 0.709 0.750 0.085
Cu: 0.791 0.250 0.585
W: 0.081 0.250 0.535
W: 0.419 0.750 0.035
W: 0.581 0.250 0.965
W: 0.919 0.750 0.465

***

(6)
A plane-wave DFT calculation with PBE was carried out for a geometry-optimized RbAlGe structure.

As for the crystal system: triclinic. The calculation puts the theoretical density at 3.4 g/cm3. The formation energy comes out at -3 meV per atom. As for the space group: P1, No. 1.

Cell lengths 4.337, 6.194, 7.496 Å; angles 94.62, 104.44, 108.44 degrees
Fractional positions:
Rb: 0.000 0.000 0.000
Rb: 0.463 0.570 0.289
Al: 0.273 0.989 0.593
Al: 0.652 0.400 0.784
Ge: 0.195 0.585 0.692
Ge: 0.812 0.174 0.476

***

(7)
A plane-wave DFT calculation with PBE was carried out for a geometry-optimized BaCuWSe2 structure.

As for the crystal system: tetragonal. The formation energy from raw total energies is -0.358 eV/atom. The calculation puts the theoretical density at 7.3 g/cm3. As for the space group: P4/mmm, No. 123.

Cell lengths 4.978, 4.978, 4.981 Å; angles 90.00, 90.00, 90.00 degrees
Fractional positions:
Ba: 0.000 0.000 0.000
Cu: 0.500 0.500 0.000
W: 0.500 0.500 0.500
Se: 0.000 0.500 0.500
Se: 0.500 0.000 0.500

***

(8)
A plane-wave DFT calculation with PBE was carried out for a geometry-optimized NdErNi structure.

As for the crystal system: triclinic. The calculation puts the theoretical density at 8.2 g/cm3. The formation energy comes out at -202 meV per atom. As for the space group: P-1, No. 2. As for the excess energy over the best structure of this formula in the dataset: 54 meV per atom.

Cell lengths 3.439, 6.716, 6.984 Å; angles 74.22, 89.98, 75.20 degrees
Fractional positions:
Nd: 0.130 0.242 0.064
Nd: 0.870 0.758 0.936
Er: 0.131 0.238 0.564
Er: 0.869 0.762 0.436
Ni: 0.497 0.507 0.283
Ni: 0.503 0.493 0.717

***

(9)
A plane-wave DFT calculation with PBE was carried out for a geometry-optimized YTc2P structure.

As for the crystal system: monoclinic. The calculation puts the theoretical density at 7.3 g/cm3. The formation energy comes out at -61 meV per atom. As for the space group: P2/m, No. 10.

Cell lengths 3.448, 4.547, 4.588 Å; angles 90.00, 93.64, 90.00 degrees
Fractional positions:
Y: 0.000 0.000 0.000
Tc: 0.367 0.500 0.743
Tc: 0.633 0.500 0.257
P: 0.500 0.000 0.500

***

(10)
A plane-wave DFT calculation with PBE was carried out for a geometry-optimized Rb2NaPPt structure.

As for the crystal system: tetragonal. The calculation puts the theoretical density at 3.4 g/cm3. The formation energy comes out at -222 meV per atom. As for the space group: P4/mmm, No. 123.

Cell lengths 6.860, 6.860, 4.400 Å; angles 90.00, 90.00, 90.00 degrees
Fractional positions:
Rb: 0.000 0.500 0.000
Rb: 0.500 0.000 0.000
Na: 0.000 0.000 0.500
P: 0.500 0.500 0.500
Pt: 0.500 0.500 0.000

***

(11)
A plane-wave DFT calculation with PBE was carried out for a geometry-optimized LaPm6Ho2 structure.

As for the crystal system: triclinic. The calculation puts the theoretical density at 7.3 g/cm3. The formation energy comes out at 18 meV per atom. As for the space group: P-1, No. 2.

Cell lengths 3.644, 8.902, 9.615 Å; angles 90.48, 100.92, 90.07 degrees
Fractional positions:
La: 0.000 0.000 0.000
Pm: 0.110 0.664 0.220
Pm: 0.221 0.336 0.442
Pm: 0.332 0.001 0.665
Pm: 0.668 0.999 0.335
Pm: 0.779 0.664 0.558
Pm: 0.890 0.336 0.780
Ho: 0.444 0.664 0.889
Ho: 0.556 0.336 0.111

***

(12)
A plane-wave DFT calculation with PBE was carried out for a geometry-optimized Cd2CoRu structure.

As for the crystal system: tetragonal. The calculation puts the theoretical density at 8.9 g/cm3. The formation energy comes out at 765 meV per atom. As for the space group: I-42d, No. 122. As for the excess energy over the best structure of this formula in the dataset: 563 meV per atom.

Cell lengths 5.828, 5.828, 5.828 Å; angles 102.21, 102.21, 125.24 degrees
Fractional positions:
Cd: 0.109 0.625 0.984
Cd: 0.375 0.359 0.484
Cd: 0.641 0.125 0.016
Cd: 0.875 0.891 0.516
Co: 0.000 0.000 0.000
Co: 0.750 0.250 0.500
Ru: 0.250 0.750 0.500
Ru: 0.500 0.500 0.000

***

(13)
A plane-wave DFT calculation with PBE was carried out for a geometry-optimized CeTmFe structure.

As for the crystal system: trigonal. The calculation puts the theoretical density at 8.8 g/cm3. The formation energy comes out at 82 meV per atom. As for the space group: P3m1, No. 156. As for the excess energy over the best structure of this formula in the dataset: 181 meV per atom.

Cell lengths 4.023, 4.023, 4.934 Å; angles 90.00, 90.00, 120.00 degrees
Fractional positions:
Ce: 0.000 0.000 0.000
Tm: 0.333 0.667 0.500
Fe: 0.667 0.333 0.999

***

(14)
A plane-wave DFT calculation with PBE was carried out for a geometry-optimized AlFeSe2 structure.

As for the crystal system: monoclinic. The formation energy from raw total energies is -0.339 eV/atom. The calculation puts the theoretical density at 4.2 g/cm3. As for the space group: Pm, No. 6.

Cell lengths 3.881, 3.838, 6.336 Å; angles 90.00, 90.80, 90.00 degrees
Fractional positions:
Al: 0.000 0.000 0.000
Fe: 0.450 0.500 0.000
Se: 0.519 0.000 0.749
Se: 0.960 0.500 0.251

***

(15)
A plane-wave DFT calculation with PBE was carried out for a geometry-optimized AgIrO structure.

As for the crystal system: triclinic. The formation energy from raw total energies is -0.008 eV/atom. The calculation puts the theoretical density at 12.6 g/cm3. As for the space group: P1, No. 1.

Cell lengths 2.796, 2.924, 11.445 Å; angles 87.00, 86.24, 63.25 degrees
Fractional positions:
Ag: 0.000 0.000 0.000
Ag: 0.367 0.392 0.795
Ir: 0.265 0.316 0.313
Ir: 0.921 0.897 0.492
O: 0.306 0.327 0.151
O: 0.386 0.900 0.622

***

(16)
A plane-wave DFT calculation with PBE was carried out for a geometry-optimized NbTl3Cr2S6 structure.

As for the crystal system: monoclinic. The formation energy from raw total energies is -0.604 eV/atom. The calculation puts the theoretical density at 6.5 g/cm3. As for the space group: C2/m, No. 12.

Cell lengths 5.972, 5.972, 8.496 Å; angles 95.48, 95.48, 119.88 degrees
Fractional positions:
Nb: 0.000 0.000 0.000
Tl: 0.167 0.833 0.500
Tl: 0.500 0.500 0.500
Tl: 0.833 0.167 0.500
Cr: 0.333 0.667 0.000
Cr: 0.667 0.333 0.000
S: 0.046 0.391 0.168
S: 0.299 0.299 0.833
S: 0.391 0.046 0.168
S: 0.609 0.954 0.832
S: 0.701 0.701 0.167
S: 0.954 0.609 0.832

***

(17)
A plane-wave DFT calculation with PBE was carried out for a geometry-optimized KTl3Ag structure.

As for the crystal system: cubic. The calculation puts the theoretical density at 7.0 g/cm3. The formation energy comes out at 100 meV per atom. As for the space group: Pm-3m, No. 221. As for the excess energy over the best structure of this formula in the dataset: 140 meV per atom.

Cell lengths 5.639, 5.639, 5.639 Å; angles 90.00, 90.00, 90.00 degrees
Fractional positions:
K: 0.000 0.000 0.000
Tl: 0.000 0.500 0.500
Tl: 0.500 0.000 0.500
Tl: 0.500 0.500 0.000
Ag: 0.500 0.500 0.500

***

(18)
A plane-wave DFT calculation with PBE was carried out for a geometry-optimized ScGa2Pb2 structure.

As for the crystal system: tetragonal. The calculation puts the theoretical density at 8.3 g/cm3. The formation energy comes out at -70 meV per atom. As for the space group: P4/mbm, No. 127. As for the excess energy over the best structure of this formula in the dataset: 0 meV per atom.

Cell lengths 7.589, 7.589, 4.176 Å; angles 90.00, 90.00, 90.00 degrees
Fractional positions:
Sc: 0.000 0.000 0.000
Sc: 0.500 0.500 0.000
Ga: 0.124 0.376 0.000
Ga: 0.376 0.876 0.000
Ga: 0.624 0.124 0.000
Ga: 0.876 0.624 0.000
Pb: 0.175 0.675 0.500
Pb: 0.325 0.175 0.500
Pb: 0.675 0.825 0.500
Pb: 0.825 0.325 0.500

***

(19)
A plane-wave DFT calculation with PBE was carried out for a geometry-optimized SmPuMgIr structure.

As for the crystal system: cubic. The calculation puts the theoretical density at 11.0 g/cm3. The formation energy comes out at -205 meV per atom. As for the space group: F-43m, No. 216.

Cell lengths 5.065, 5.065, 5.065 Å; angles 60.00, 60.00, 60.00 degrees
Fractional positions:
Sm: 0.000 0.000 0.000
Pu: 0.500 0.500 0.500
Mg: 0.250 0.250 0.250
Ir: 0.750 0.750 0.750

***

(20)
A plane-wave DFT calculation with PBE was carried out for a geometry-optimized Ga6Cu5Ag structure.

As for the crystal system: orthorhombic. The calculation puts the theoretical density at 7.9 g/cm3. The formation energy comes out at 9 meV per atom. As for the space group: Cmmm, No. 65.

Cell lengths 6.164, 6.164, 7.740 Å; angles 90.00, 90.00, 143.11 degrees
Fractional positions:
Ga: 0.000 0.000 0.234
Ga: 0.000 0.000 0.766
Ga: 0.331 0.669 0.240
Ga: 0.331 0.669 0.760
Ga: 0.669 0.331 0.240
Ga: 0.669 0.331 0.760
Cu: 0.166 0.834 0.000
Cu: 0.176 0.824 0.500
Cu: 0.500 0.500 0.000
Cu: 0.824 0.176 0.500
Cu: 0.834 0.166 0.000
Ag: 0.500 0.500 0.500